Entry from Alexandria via LeMat-Bulk: a geometry-optimized LiRe2Ru structure (PBE).

ΔH_f (0 K)	232	meV per atom
crystal system	orthorhombic
excess energy over the best structure of this formula in the dataset	105	meV/atom

a b c (Å): 2.699 3.907 5.290
angles (deg): 90.00 90.00 90.00
Space group Pmm2 (No. 25)
Inequivalent atoms, fractional coordinates:
Li  0.000  0.000  0.000 x1
Re  0.000  0.000  0.505 x1
Re  0.500  0.500  0.250 x1
Ru  0.500  0.500  0.778 x1



Entry from Alexandria via LeMat-Bulk: a geometry-optimized HIr4 structure (PBE).

uncorrected energy	-37.750	eV for the cell shown
crystal system	cubic

a b c (Å): 3.933 3.933 3.933
angles (deg): 90.00 90.00 90.00
Space group Pm-3m (No. 221)
Inequivalent atoms, fractional coordinates:
H  0.000  0.000  0.000 x1
Ir  0.000  0.000  0.500 x3
Ir  0.500  0.500  0.500 x1



Entry from Alexandria via LeMat-Bulk: a geometry-optimized SrSi2Au3 structure (PBE).

crystal system	monoclinic
formation energy without anion corrections	-0.41	eV per atom

a b c (Å): 16.186 4.363 7.640
angles (deg): 90.00 113.77 90.00
Space group C2/m (No. 12)
Inequivalent atoms, fractional coordinates:
Sr  0.156  0.000  0.075 x4
Si  0.014  0.500  0.166 x4
Si  0.179  0.000  0.654 x4
Au  0.035  0.000  0.345 x4
Au  0.116  0.500  0.724 x4
Au  0.181  0.500  0.401 x4



Entry from Alexandria via LeMat-Bulk: a geometry-optimized CuSb3Os structure (PBE).

crystal system	cubic
excess energy over the best structure of this formula in the dataset	0	meV/atom
formation energy without anion corrections	0.90	eV per atom

a b c (Å): 5.143 5.143 5.143
angles (deg): 90.00 90.00 90.00
Space group Pm-3m (No. 221)
Inequivalent atoms, fractional coordinates:
Cu  0.000  0.000  0.000 x1
Sb  0.000  0.500  0.500 x3
Os  0.500  0.500  0.500 x1



Entry from Alexandria via LeMat-Bulk: a geometry-optimized Rb2BaHCl6 structure (PBE).

uncorrected energy	-65.256	eV for the cell shown
crystal system	tetragonal

a b c (Å): 8.531 8.531 9.094
angles (deg): 90.00 90.00 90.00
Space group I4/mmm (No. 139)
Inequivalent atoms, fractional coordinates:
Rb  0.000  0.500  0.250 x4
Ba  0.000  0.000  0.000 x2
H  0.000  0.000  0.500 x2
Cl  0.000  0.000  0.330 x4
Cl  0.244  0.244  0.000 x8



Entry from Alexandria via LeMat-Bulk: a geometry-optimized UTiSe2 structure (PBE).

crystal system	orthorhombic
excess energy over the best structure of this formula in the dataset	46	meV/atom
formation energy without anion corrections	-0.90	eV per atom

a b c (Å): 5.496 5.524 11.017
angles (deg): 90.00 90.00 90.00
Space group Imma (No. 74)
Inequivalent atoms, fractional coordinates:
U  0.000  0.250  0.116 x4
Ti  0.000  0.250  0.606 x4
Se  0.000  0.250  0.374 x4
Se  0.000  0.250  0.854 x4



Entry from Alexandria via LeMat-Bulk: a geometry-optimized Tb2InO structure (PBE).

crystal system	monoclinic
excess energy over the best structure of this formula in the dataset	0	meV/atom
formation energy without anion corrections	-1.64	eV per atom

a b c (Å): 6.447 6.447 8.832
angles (deg): 90.00 90.17 90.00
Space group C2/m (No. 12)
Inequivalent atoms, fractional coordinates:
Tb  0.000  0.250  0.000 x4
Tb  0.249  0.000  0.672 x4
In  0.249  0.500  0.700 x4
O  0.250  0.000  0.930 x4



Entry from Alexandria via LeMat-Bulk: a geometry-optimized CaScRe2 structure (PBE).

ΔH_f (0 K)	852	meV per atom
crystal system	cubic
excess energy over the best structure of this formula in the dataset	727	meV/atom

a b c (Å): 6.677 6.677 6.677
angles (deg): 90.00 90.00 90.00
Space group Fm-3m (No. 225)
Inequivalent atoms, fractional coordinates:
Ca  0.000  0.000  0.000 x4
Sc  0.000  0.000  0.500 x4
Re  0.250  0.250  0.250 x8



Entry from Alexandria via LeMat-Bulk: a geometry-optimized AcLa2In structure (PBE).

ΔH_f (0 K)	-127	meV per atom
crystal system	trigonal
excess energy over the best structure of this formula in the dataset	127	meV/atom

a b c (Å): 3.9129 3.9129 33.8943
angles (deg): 90.00 90.00 120.00
Space group R3m (No. 160, hexagonal axes)
Inequivalent atoms, fractional coordinates:
Ac  0.0000  0.0000  0.0000 x3
La  0.0000  0.0000  0.5738 x3
La  0.0000  0.0000  0.7601 x3
In  0.0000  0.0000  0.1667 x3



Entry from Alexandria via LeMat-Bulk: a geometry-optimized HfZr3Sb structure (PBE).

crystal system	cubic
excess energy over the best structure of this formula in the dataset	1001	meV/atom
formation energy without anion corrections	0.71	eV per atom

a b c (Å): 5.246 5.246 5.246
angles (deg): 90.00 90.00 90.00
Space group Pm-3m (No. 221)
Inequivalent atoms, fractional coordinates:
Hf  0.000  0.000  0.000 x1
Zr  0.000  0.500  0.500 x3
Sb  0.500  0.500  0.500 x1



Entry from Alexandria via LeMat-Bulk: a geometry-optimized Cs2AuI structure (PBE).

crystal system	tetragonal
excess energy over the best structure of this formula in the dataset	17	meV/atom
formation energy without anion corrections	-0.91	eV per atom

a b c (Å): 4.529 4.529 9.040
angles (deg): 90.00 90.00 90.00
Space group P4/mmm (No. 123)
Inequivalent atoms, fractional coordinates:
Cs  0.000  0.000  0.240 x2
Au  0.500  0.500  0.000 x1
I  0.500  0.500  0.500 x1



Entry from Alexandria via LeMat-Bulk: a geometry-optimized PmHoSiRu structure (PBE).

crystal system	cubic
formation energy without anion corrections	-0.35	eV per atom

a b c (Å): 7.001 7.001 7.001
angles (deg): 90.00 90.00 90.00
Space group F-43m (No. 216)
Inequivalent atoms, fractional coordinates:
Pm  0.000  0.000  0.000 x4
Ho  0.000  0.000  0.500 x4
Si  0.250  0.250  0.250 x4
Ru  0.250  0.250  0.750 x4



Entry from Alexandria via LeMat-Bulk: a geometry-optimized Pr6TlGa2 structure (PBE).

ΔH_f (0 K)	-235	meV per atom
crystal system	monoclinic
excess energy over the best structure of this formula in the dataset	113	meV/atom

a b c (Å): 6.673 8.680 11.218
angles (deg): 90.00 119.24 90.00
Space group P2_1/c (No. 14)
Inequivalent atoms, fractional coordinates:
Pr  0.057  0.053  0.214 x4
Pr  0.166  0.698  0.069 x4
Pr  0.419  0.148  0.062 x4
Tl  0.500  0.000  0.500 x2
Ga  0.310  0.125  0.740 x4



Entry from Alexandria via LeMat-Bulk: a geometry-optimized AcLa4Ho2Tm structure (PBE).

ΔH_f (0 K)	38	meV per atom
crystal system	monoclinic

a b c (Å): 11.575 5.246 10.518
angles (deg): 90.00 117.05 90.00
Space group C2/m (No. 12)
Inequivalent atoms, fractional coordinates:
Ac  0.000  0.000  0.000 x2
La  0.246  0.000  0.868 x4
La  0.248  0.500  0.622 x4
Ho  0.001  0.500  0.743 x4
Tm  0.000  0.000  0.500 x2



no.,total magnetic moment (μB per formula unit),N(E_F) (states/eV per cell),calculated density (Mg/m³)
1,0.00,3.391,14.30
2,0.00,4.821,21.01
3,0.00,8.147,9.88
4,0.00,0.744,7.56
5,1.00,13.679,2.62
6,2.64,30.304,8.81
7,0.00,15.024,8.12
8,0.00,32.641,10.21
9,0.00,16.617,6.87
10,0.00,6.575,6.60
11,0.00,0.000,5.28
12,0.00,9.656,8.50
13,0.00,19.797,6.97
14,0.00,27.466,7.48